i | First-principles (PBE with a Hubbard U) data for a geometry-optimized RbFePO2 structure, as listed in the Alexandria database.

The structure in CIF format:
```
data_RbFePO2
_chemical_formula_sum 'Rb1 Fe1 P1 O2'
_space_group_name_H-M_alt 'P 4/m m m'
_space_group_IT_number 123
_space_group_name_Hall '-P 4 2'
_cell_length_a 4.078
_cell_length_b 4.078
_cell_length_c 5.686
_cell_angle_alpha 90.00
_cell_angle_beta 90.00
_cell_angle_gamma 90.00
loop_
_atom_site_label
_atom_site_fract_x
_atom_site_fract_y
_atom_site_fract_z
Rb1 0.000 0.000 0.000
Fe1 0.500 0.500 0.500
P1 0.000 0.000 0.500
O1 0.000 0.500 0.000
```

* crystal system: tetragonal
* volume: 94.6 Å³/cell



ii | First-principles (PBE with a Hubbard U) data for a geometry-optimized RbFePO2 structure, as listed in the Alexandria database.

The structure in CIF format:
```
data_RbFePO2
_chemical_formula_sum 'Rb1 Fe1 P1 O2'
_space_group_name_H-M_alt 'P 4/m m m'
_space_group_IT_number 123
_space_group_name_Hall '-P 4 2'
_cell_length_a 4.186
_cell_length_b 4.186
_cell_length_c 4.696
_cell_angle_alpha 90.00
_cell_angle_beta 90.00
_cell_angle_gamma 90.00
loop_
_atom_site_label
_atom_site_fract_x
_atom_site_fract_y
_atom_site_fract_z
Rb1 0.000 0.000 0.000
Fe1 0.500 0.500 0.500
P1 0.500 0.500 0.000
O1 0.000 0.500 0.500
```

* crystal system: tetragonal
* volume: 82.3 Å³/cell



Last place for stability: i



i | First-principles (PBE with a Hubbard U) data for a geometry-optimized FeReP2O structure, as listed in the Alexandria database.

The structure in CIF format:
```
data_FeReP2O
_chemical_formula_sum 'Fe1 Re1 P2 O1'
_space_group_name_H-M_alt 'P 4/m m m'
_space_group_IT_number 123
_space_group_name_Hall '-P 4 2'
_cell_length_a 4.557
_cell_length_b 4.557
_cell_length_c 3.257
_cell_angle_alpha 90.00
_cell_angle_beta 90.00
_cell_angle_gamma 90.00
loop_
_atom_site_label
_atom_site_fract_x
_atom_site_fract_y
_atom_site_fract_z
Fe1 0.000 0.000 0.000
Re1 0.500 0.500 0.500
P1 0.000 0.500 0.000
O1 0.000 0.000 0.500
```

* crystal system: tetragonal
* volume: 67.6 Å³/cell



ii | First-principles (PBE with a Hubbard U) data for a geometry-optimized FeReP2O structure, as listed in the Alexandria database.

The structure in CIF format:
```
data_FeReP2O
_chemical_formula_sum 'Fe1 Re1 P2 O1'
_space_group_name_H-M_alt 'P 4/m m m'
_space_group_IT_number 123
_space_group_name_Hall '-P 4 2'
_cell_length_a 4.778
_cell_length_b 4.778
_cell_length_c 3.707
_cell_angle_alpha 90.00
_cell_angle_beta 90.00
_cell_angle_gamma 90.00
loop_
_atom_site_label
_atom_site_fract_x
_atom_site_fract_y
_atom_site_fract_z
Fe1 0.000 0.000 0.000
Re1 0.500 0.500 0.500
P1 0.000 0.500 0.500
O1 0.500 0.500 0.000
```

* crystal system: tetragonal
* volume: 84.6 Å³/cell



Last place for stability: i